1.
Here is a geometry-optimized NaMgIn2W structure from Alexandria. Energies are from PBE-GGA.

Cell: 5.3185 5.3185 5.3308 Å, 90.00 90.00 90.00°
Last column: nearest neighbours and their distance in Å.
Space group P4/mmm (No. 123)
Asymmetric unit:
Na  0.0000  0.0000  0.0000 [1 per cell]  4 Mg 3.76, 8 In 3.77
Mg  0.5000  0.5000  0.0000 [1 per cell]  2 W 2.67
In  0.0000  0.5000  0.5000 [2 per cell]  2 W 2.66
W  0.5000  0.5000  0.5000 [1 per cell]  4 In 2.66, 2 Mg 2.67

crystal system	tetragonal
calculated total energy	-0.26773	Ry/atom
calculated formation energy	626	meV/atom
magnetic moment	0.00	μB per cell

=====

2.
Here is a geometry-optimized FeNiTe structure from Alexandria. Energies are from PBE-GGA.

Cell: 3.4604 3.4604 7.6692 Å, 90.00 90.00 90.00°
Last column: nearest neighbours and their distance in Å.
Space group I4mm (No. 107)
Asymmetric unit:
Fe  0.0000  0.0000  0.0000 [2 per cell]  5 Te 2.55-2.76, 5 Ni 2.58-2.75
Ni  0.0000  0.0000  0.6630 [2 per cell]  5 Te 2.53-2.77, 5 Fe 2.58-2.75
Te  0.0000  0.0000  0.3330 [2 per cell]  5 Ni 2.53-2.77, 5 Fe 2.55-2.76

crystal system	tetragonal
calculated total energy	-0.40694	Ry/atom
magnetic moment	5.21	μB per cell
uncorrected formation energy	0.26	eV per atom